# 1
Material: LiCeThOs
Method: DFT, PBE
State: relaxed

Geometry as POSCAR:
```
LiCeThOs
1.0
7.108 0.000 0.000
0.000 7.108 0.000
0.000 0.000 7.108
Li Ce Th Os
4 4 4 4
Direct
0.000 0.000 0.000
0.000 0.500 0.500
0.500 0.000 0.500
0.500 0.500 0.000
0.250 0.250 0.750
0.250 0.750 0.250
0.750 0.250 0.250
0.750 0.750 0.750
0.250 0.250 0.250
0.250 0.750 0.750
0.750 0.250 0.750
0.750 0.750 0.250
0.000 0.000 0.500
0.000 0.500 0.000
0.500 0.000 0.000
0.500 0.500 0.500
```

Results
For the formation energy, the calculation gives -0.07 eV/atom. The symmetry is F-43m (216). The spin magnetization is 0.4 μB per formula unit.



# 2
Material: Li5TlAg
Method: DFT, PBE
State: relaxed

Geometry as POSCAR:
```
Li5TlAg
1.0
4.264 0.000 0.000
0.000 4.264 0.000
0.000 0.000 7.527
Li Tl Ag
5 1 1
Direct
0.000 0.000 0.000
0.000 0.500 0.280
0.000 0.500 0.720
0.500 0.000 0.280
0.500 0.000 0.720
0.500 0.500 0.000
0.000 0.000 0.500
```

Results
For the formation energy, the calculation gives -0.13 eV/atom. The symmetry is P4/mmm (123). The spin magnetization is 0.0 μB per formula unit.



# 3
Material: Rb4Sm3MnSe8
Method: DFT, PBE
State: relaxed

Geometry as POSCAR:
```
Rb4Sm3MnSe8
1.0
4.243 2.450 7.995
-4.243 2.450 7.995
0.000 -4.899 7.995
Rb Sm Mn Se
4 3 1 8
Direct
0.000 0.000 0.000
0.000 0.500 0.500
0.500 0.000 0.500
0.500 0.500 0.000
0.000 0.000 0.500
0.000 0.500 0.000
0.500 0.000 0.000
0.500 0.500 0.500
0.234 0.234 0.234
0.251 0.719 0.719
0.281 0.281 0.749
0.281 0.749 0.281
0.719 0.251 0.719
0.719 0.719 0.251
0.749 0.281 0.281
0.766 0.766 0.766
```

Results
The symmetry is R-3m (166). The spin magnetization is 4.0 μB per formula unit. As for the total energy: -4.87 eV per atom.



# 4
Material: Zr2TiAl
Method: DFT, PBE
State: relaxed

Geometry as POSCAR:
```
Zr2TiAl
1.0
3.126 0.000 0.000
-1.563 2.707 0.000
0.000 0.000 28.934
Zr Ti Al
6 3 3
Direct
0.000 0.000 0.000
0.000 0.000 0.166
0.333 0.667 0.667
0.333 0.667 0.832
0.667 0.333 0.333
0.667 0.333 0.499
0.000 0.000 0.416
0.333 0.667 0.082
0.667 0.333 0.749
0.000 0.000 0.583
0.333 0.667 0.249
0.667 0.333 0.916
```

Results
For the formation energy, the calculation gives -0.06 eV/atom. The symmetry is R3m (160). The spin magnetization is 0.0 μB per formula unit.



# 5
Material: GePPd
Method: DFT, PBE
State: relaxed

Geometry as POSCAR:
```
GePPd
1.0
4.043 0.000 0.000
-0.293 4.967 0.000
-1.659 -2.242 5.253
Ge P Pd
2 2 2
Direct
0.061 0.225 0.386
0.939 0.775 0.614
0.148 0.330 0.032
0.852 0.670 0.968
0.497 0.153 0.756
0.503 0.847 0.244
```

Results
For the formation energy, the calculation gives -0.13 eV/atom. The symmetry is P-1 (2). The spin magnetization is 0.0 μB per formula unit.



# 6
Material: BiPd8Se2
Method: DFT, PBE
State: relaxed

Geometry as POSCAR:
```
BiPd8Se2
1.0
4.579 0.000 0.000
-0.584 6.739 0.000
-1.718 -3.408 6.145
Bi Pd Se
1 8 2
Direct
0.000 0.000 0.000
0.078 0.509 0.200
0.203 0.980 0.381
0.292 0.772 0.673
0.453 0.257 0.927
0.547 0.743 0.073
0.708 0.228 0.327
0.797 0.020 0.619
0.922 0.491 0.800
0.353 0.392 0.649
0.647 0.608 0.351
```

Results
The symmetry is P-1 (2). The spin magnetization is 0.0 μB per formula unit. As for the total energy: -4.96 eV per atom.



# 7
Material: LaMo2Se
Method: DFT, PBE
State: relaxed

Geometry as POSCAR:
```
LaMo2Se
1.0
3.421 0.000 0.000
0.000 4.177 0.000
-0.241 0.000 6.012
La Mo Se
1 2 1
Direct
0.000 0.000 0.000
0.463 0.000 0.464
0.965 0.500 0.439
0.485 0.500 0.761
```

Results
The symmetry is Pm (6). The spin magnetization is 0.0 μB per formula unit. As for the total energy: -7.62 eV per atom.



# 8
Material: Pa4Ni12Ir
Method: DFT, PBE
State: relaxed

Geometry as POSCAR:
```
Pa4Ni12Ir
1.0
-3.970 3.970 3.970
3.970 -3.970 3.970
3.970 3.970 -3.970
Pa Ni Ir
4 12 1
Direct
0.000 0.000 0.500
0.000 0.500 0.000
0.500 0.000 0.000
0.500 0.500 0.500
0.000 0.323 0.323
0.000 0.677 0.677
0.250 0.500 0.750
0.250 0.750 0.500
0.323 0.000 0.323
0.323 0.323 0.000
0.500 0.250 0.750
0.500 0.750 0.250
0.677 0.000 0.677
0.677 0.677 0.000
0.750 0.250 0.500
0.750 0.500 0.250
0.000 0.000 0.000
```

Results
For the formation energy, the calculation gives -0.35 eV/atom. The symmetry is Im-3m (229). The spin magnetization is 0.0 μB per formula unit.



# 9
Material: BeCr2Mo
Method: DFT, PBE
State: relaxed

Geometry as POSCAR:
```
BeCr2Mo
1.0
2.595 0.000 0.000
-1.298 2.247 0.000
0.000 0.000 25.786
Be Cr Mo
3 6 3
Direct
0.000 0.000 0.000
0.333 0.667 0.667
0.667 0.333 0.333
0.000 0.000 0.258
0.000 0.000 0.742
0.333 0.667 0.408
0.333 0.667 0.925
0.667 0.333 0.075
0.667 0.333 0.592
0.000 0.000 0.500
0.333 0.667 0.167
0.667 0.333 0.833
```

Results
For the formation energy, the calculation gives 0.44 eV/atom. The symmetry is R-3m (166). The spin magnetization is 0.0 μB per formula unit.



# 10
Material: BaCa2Bi2
Method: DFT, PBE
State: relaxed

Geometry as POSCAR:
```
BaCa2Bi2
1.0
5.110 0.000 0.000
0.000 5.110 0.000
0.000 0.000 15.131
Ba Ca Bi
2 4 4
Direct
0.000 0.000 0.000
0.500 0.500 0.500
0.000 0.500 0.250
0.000 0.500 0.750
0.500 0.000 0.250
0.500 0.000 0.750
0.000 0.000 0.379
0.000 0.000 0.621
0.500 0.500 0.121
0.500 0.500 0.879
```

Results
For the formation energy, the calculation gives -0.80 eV/atom. The symmetry is I4/mmm (139). The spin magnetization is 0.0 μB per formula unit.



# 11
Material: Pm3DyIn
Method: DFT, PBE
State: relaxed

Geometry as POSCAR:
```
Pm3DyIn
1.0
2.447 -12.796 0.000
2.447 12.796 0.000
0.000 0.000 4.903
Pm Dy In
6 2 2
Direct
0.053 0.947 0.750
0.251 0.749 0.750
0.446 0.554 0.750
0.554 0.446 0.250
0.749 0.251 0.250
0.947 0.053 0.250
0.349 0.651 0.250
0.651 0.349 0.750
0.153 0.847 0.250
0.847 0.153 0.750
```

Results
For the formation energy, the calculation gives -0.19 eV/atom. The symmetry is Cmcm (63). The spin magnetization is 0.0 μB per formula unit.



# 12
Material: NaIn2GaRh
Method: DFT, PBE
State: relaxed

Geometry as POSCAR:
```
NaIn2GaRh
1.0
5.170 0.000 0.000
0.000 5.170 0.000
0.000 0.000 4.839
Na In Ga Rh
1 2 1 1
Direct
0.000 0.000 0.000
0.000 0.500 0.500
0.500 0.000 0.500
0.500 0.500 0.000
0.500 0.500 0.500
```

Results
For the formation energy, the calculation gives -0.21 eV/atom. The symmetry is P4/mmm (123). The spin magnetization is 0.0 μB per formula unit.



Q: Among the records above, which one has the highest spin magnetization?
A: Rb4Sm3MnSe8



Q: What is the formula in the eleventh record?
A: Pm3DyIn